{
  "formula": "Y5Be",
  "functional": "PBE",
  "state": "optimized geometry",
  "cell": [[6.080, 0.000, 0.000], [-3.040, 5.265, 0.000], [0.000, 0.000, 5.273]],
  "species": ["Y", "Y", "Y", "Y", "Y", "Be"],
  "frac_coords": [[0.000, 0.696, 0.000], [0.304, 0.304, 0.000], [0.333, 0.667, 0.500], [0.667, 0.333, 0.500], [0.696, 0.000, 0.000], [0.000, 0.000, 0.500]],
  "dos_at_fermi_per_ev_fu": 8.9,
  "ef_ev_per_atom": 0.237,
  "sg": "No. 189",
  "total_magnetization_mub_per_cell": 0.00,
  "vol_a3_per_cell": 168.8,
  "total_energy_ha_per_atom": -0.21208,
  "e_above_lowest_polymorph_kj_per_mol_atoms": 18.1
}